The following is a DFT calculation (PBE) of a relaxed structure of TmLuMgTi.

a b c (Å): 5.187 5.187 5.187
angles (deg): 60.00 60.00 60.00
Sites, in units of the cell vectors:
Ti 0.250 0.250 0.250
Lu 0.000 0.000 0.000
Tm 0.500 0.500 0.500
Mg 0.750 0.750 0.750

VASP energy   -4.4691 eV per atom
Density   7.0 Mg/m³